No. 1
Th2Cd16Bi GGA-PBE optimized geometry; calculated total energy = -1.8145 eV/atom; energy relative to the elements = -0.06 eV per atom; total moment = 0.0000 μB per atom
1.0
7.6675 -0.0444 0.8150
0.7283 7.6330 0.8150
-0.0491 -0.0444 7.7105
Cd Th Bi
16 2 1
direct
0.0158 0.4795 0.0158 Cd
0.9970 0.6880 0.3153 Cd
0.8155 0.3584 0.3584 Cd
0.6880 0.9970 0.3153 Cd
0.1055 0.1055 0.1055 Cd
0.3584 0.3584 0.8155 Cd
0.9970 0.3153 0.6880 Cd
0.3153 0.9970 0.6880 Cd
0.0158 0.0158 0.4795 Cd
0.1610 0.6480 0.6480 Cd
0.4795 0.0158 0.0158 Cd
0.6880 0.3153 0.9970 Cd
0.6480 0.1610 0.6480 Cd
0.6480 0.6480 0.1610 Cd
0.3153 0.6880 0.9970 Cd
0.3584 0.8155 0.3584 Cd
0.6627 0.6627 0.6627 Th
0.3387 0.3387 0.3387 Th
0.8922 0.8922 0.8922 Bi



No. 2
TmThCdBi GGA-PBE optimized geometry; calculated total energy = -4.4367 eV/atom; energy relative to the elements = -0.26 eV per atom; total moment = 0.0000 μB per atom
1.0
5.4427 0.0000 0.0000
2.7214 4.7135 0.0000
2.7214 1.5712 4.4440
Th Cd Tm Bi
1 1 1 1
direct
0.5000 0.5000 0.5000 Th
0.2500 0.2500 0.2500 Cd
0.0000 0.0000 0.0000 Tm
0.7500 0.7500 0.7500 Bi